Entry 1:
A relaxed structure of Li2Mn3SbO8. Source: Alexandria, functional PBEsol.

Cell and atoms, written as POSCAR:
```
Li2Mn3SbO8
1.0
-5.120 1.384 -2.048
-4.458 0.379 3.509
-2.182 5.452 1.246
O Li Sb Mn
8 2 1 3
Cartesian
-2.986 1.584 0.643 O
-6.189 4.852 2.967 O
-4.118 4.675 1.337 O
-8.774 5.631 2.065 O
-7.642 2.540 1.370 O
-6.497 5.319 0.385 O
-5.263 1.897 2.322 O
-5.571 2.364 -0.260 O
-2.567 3.599 0.957 Li
-9.193 3.616 1.750 Li
-5.880 3.608 1.354 Sb
-4.789 0.882 0.730 Mn
-2.560 0.692 -1.024 Mn
-2.229 0.189 1.754 Mn
```

Summary:
- Symmetry: R-3m, No. 166
- E_form (uncorrected): -1.70 eV per atom
- Raw total energy: -7.3948 eV per atom
- ΔE to the lowest computed polymorph: 0.017 eV/atom

***

Entry 2:
A relaxed structure of KMgIn2. Source: Alexandria, functional PBEsol.

Cell and atoms, written as POSCAR:
```
KMgIn2
1.0
5.319 0.000 0.000
2.660 4.607 0.000
2.660 1.536 4.343
In Mg K
2 1 1
Cartesian
7.979 4.607 3.257 In
0.000 0.000 0.000 In
2.660 1.536 1.086 Mg
5.319 3.071 2.172 K
```

Summary:
- Symmetry: F-43m, No. 216
- Energy of formation: 13 meV per atom
- Raw total energy: -2.1915 eV per atom

***

Entry 3:
A relaxed structure of MgZr2Zn. Source: Alexandria, functional PBEsol.

Cell and atoms, written as POSCAR:
```
MgZr2Zn
1.0
-1.047 -1.008 2.876
-1.868 -3.138 -1.779
4.903 -3.280 0.636
Zr Zn Mg
2 1 1
Cartesian
1.282 -0.857 0.166 Zr
3.621 -2.422 0.470 Zr
0.994 -3.713 0.866 Zn
-1.458 -2.073 0.548 Mg
```

Summary:
- Symmetry: Pmmm, No. 47
- Energy of formation: -67 meV per atom
- Raw total energy: -5.4367 eV per atom
- ΔE to the lowest computed polymorph: 0.041 eV/atom

***

Q: Which value of raw total energy does entry 2 give?
A: -2.1915 eV per atom

***

Q: raw total energy of number 1 (Li2Mn3SbO8)?
A: -7.3948 eV per atom

***

Q: Among the records above, which one has the lowest raw total energy?
A: Li2Mn3SbO8